No. 1
VASP calculation (GGA-PBE) on a relaxed structure of Tb4DyHo6.

```
Tb4DyHo6
1.0
5.668 0.000 0.000
-2.834 4.780 0.000
0.000 0.000 25.495
Tb Dy Ho
8 2 12
Cartesian
2.834 3.282 13.840
0.000 4.498 3.094
0.000 1.498 11.655
2.834 0.282 22.402
2.834 3.282 24.402
0.000 1.498 1.093
2.834 0.282 15.841
0.000 4.498 9.654
2.834 2.995 6.374
0.000 1.785 19.121
2.834 0.000 0.000
2.834 0.000 12.748
0.000 1.367 8.110
2.834 3.413 17.385
2.834 3.413 20.857
0.000 1.367 4.638
2.834 2.959 10.074
0.000 1.822 15.421
0.000 1.822 22.822
2.834 2.959 2.674
0.000 4.579 6.374
2.834 0.201 19.121
```

Output
- total moment (μB per atom) = 0.00
- volume (Å³/f.u.) = 345.4
- energy relative to the elements (eV per atom) = 0.1278
- VASP energy (eV per cell) = -98.37

No. 2
VASP calculation (GGA-PBE) on a relaxed structure of H2PtBr.

```
H2PtBr
1.0
-0.875 0.007 3.895
-3.250 1.910 1.312
-3.130 -2.080 1.346
H Br Pt
2 1 1
Cartesian
-1.814 -0.041 1.638
-5.442 -0.122 4.915
0.000 0.000 0.000
-3.628 -0.081 3.277
```

Output
- total moment (μB per atom) = 0.00
- volume (Å³/f.u.) = 45.0
- VASP energy (eV per cell) = -9.71

No. 3
VASP calculation (GGA-PBE) on a relaxed structure of Nb3InH.

```
Nb3InH
1.0
4.790 0.000 0.906
0.000 5.865 0.000
-0.902 0.000 5.428
H Nb In
2 6 2
Cartesian
0.181 1.466 0.417
3.707 4.399 5.917
3.443 0.092 1.505
0.445 5.773 4.830
3.443 2.841 1.505
0.445 3.024 4.830
1.005 1.466 2.201
2.883 4.399 4.133
3.056 1.466 4.250
0.832 4.399 2.084
```

Output
- total moment (μB per atom) = 0.00
- volume (Å³/f.u.) = 78.6
- VASP energy (eV per cell) = -72.86

No. 4
VASP calculation (GGA-PBE) on a relaxed structure of Mn2CdBr.

```
Mn2CdBr
1.0
3.284 0.000 0.000
0.000 3.786 -0.021
0.000 0.043 6.899
Br Cd Mn
1 1 2
Cartesian
1.642 0.957 1.720
1.642 2.872 5.159
0.000 0.988 6.518
0.000 0.970 3.820
```

Output
- total moment (μB per atom) = 1.90
- E_form (uncorrected) (kJ per mole of atoms) = 25.5
- volume (Å³/f.u.) = 85.8
- VASP energy (eV per cell) = -19.87

No. 5
VASP calculation (GGA-PBE) on a relaxed structure of Ta3MoAu.

```
Ta3MoAu
1.0
4.873 0.000 0.000
0.000 4.873 0.000
0.000 0.000 4.873
Mo Au Ta
1 1 3
Cartesian
2.436 2.436 2.436
0.000 0.000 0.000
0.000 2.436 0.000
0.000 0.000 2.436
2.436 0.000 0.000
```

Output
- total moment (μB per atom) = 0.00
- volume (Å³/f.u.) = 115.7
- energy relative to the elements (eV per atom) = 2.0381
- VASP energy (eV per cell) = -39.48

No. 6
VASP calculation (GGA-PBE) on a relaxed structure of PrScMo4.

```
PrScMo4
1.0
5.494 0.000 0.000
2.747 4.758 0.000
2.747 1.586 4.486
Pr Sc Mo
1 1 4
Cartesian
2.747 1.586 1.122
0.000 0.000 0.000
5.494 3.172 0.565
5.494 1.590 2.803
6.865 3.963 2.803
4.124 3.963 2.803
```

Output
- total moment (μB per atom) = 0.00
- volume (Å³/f.u.) = 117.3
- energy relative to the elements (eV per atom) = 0.1738
- VASP energy (eV per cell) = -53.39

No. 7
VASP calculation (GGA-PBE) on a relaxed structure of PuTiBi3.

```
PuTiBi3
1.0
-2.486 5.735 -1.262
-5.993 -2.237 1.639
2.051 3.630 12.456
Pu Ti Bi
4 4 12
Cartesian
-3.402 5.704 8.456
-3.026 1.424 4.376
-7.178 3.206 4.540
0.750 3.923 8.292
-2.531 2.681 1.057
-2.654 1.580 12.406
-3.897 4.447 11.775
-1.288 -0.187 1.688
-0.479 1.245 6.599
-4.706 3.016 6.864
-3.463 0.149 7.495
-1.722 4.112 5.968
0.638 4.576 11.480
-7.066 2.553 1.352
-4.133 0.316 1.521
-2.295 6.812 11.311
-2.076 3.069 9.980
-4.351 4.059 2.852
-0.148 2.297 2.674
-6.280 4.831 10.158
```

Output
- total moment (μB per atom) = 1.10
- volume (Å³/f.u.) = 138.3
- energy relative to the elements (eV per atom) = -0.2468
- VASP energy (eV per cell) = -140.42

No. 8
VASP calculation (GGA-PBE) on a relaxed structure of ScBeRe3.

```
ScBeRe3
1.0
4.239 0.000 0.000
0.000 4.239 0.000
0.000 0.000 4.239
Sc Re Be
1 3 1
Cartesian
2.119 2.119 2.119
0.000 2.119 0.000
0.000 0.000 2.119
2.119 0.000 0.000
0.000 0.000 0.000
```

Output
- total moment (μB per atom) = 0.00
- volume (Å³/f.u.) = 76.2
- energy relative to the elements (eV per atom) = 0.5008
- VASP energy (eV per cell) = -44.90

No. 9
VASP calculation (GGA-PBE) on a relaxed structure of TcMo2Os.

```
TcMo2Os
1.0
4.793 -0.008 0.000
-1.535 4.541 0.000
0.000 0.000 2.793
Mo Os Tc
2 1 1
Cartesian
0.000 0.000 0.000
1.629 2.267 0.000
2.397 -0.004 1.396
-0.767 2.271 1.396
```

Output
- total moment (μB per atom) = 0.00
- volume (Å³/f.u.) = 60.8
- energy relative to the elements (eV per atom) = 0.1215
- VASP energy (eV per cell) = -42.77

No. 10
VASP calculation (GGA-PBE) on a relaxed structure of Na2ScPtI.

```
Na2ScPtI
1.0
5.584 0.000 0.000
0.000 4.976 0.000
0.000 0.000 5.584
I Sc Pt Na
1 1 1 2
Cartesian
2.792 2.488 2.792
0.000 2.488 0.000
0.000 0.000 0.000
0.000 0.000 2.792
2.792 0.000 0.000
```

Output
- total moment (μB per atom) = 0.00
- E_form (uncorrected) (kJ per mole of atoms) = -28.1
- volume (Å³/f.u.) = 155.2
- VASP energy (eV per cell) = -18.02

No. 11
VASP calculation (GGA-PBE) on a relaxed structure of Ti2CdAg.

```
Ti2CdAg
1.0
-0.943 -0.096 -4.111
3.413 -2.238 -0.730
-2.164 -3.489 0.578
Ti Ag Cd
2 1 1
Cartesian
-1.082 -1.744 0.289
1.706 -1.119 -0.365
-0.472 -0.048 -2.055
0.153 -2.911 -2.132
```

Output
- total moment (μB per atom) = 0.47
- volume (Å³/f.u.) = 72.5
- energy relative to the elements (eV per atom) = 0.0675
- VASP energy (eV per cell) = -19.29

No. 12
VASP calculation (GGA-PBE) on a relaxed structure of NaCd2Si2.

```
NaCd2Si2
1.0
-0.827 -4.380 0.618
0.666 -0.745 -4.387
5.200 -3.425 -0.937
Na Si Cd
1 2 2
Cartesian
0.000 0.000 0.000
1.041 -2.745 -1.683
3.999 -5.804 -3.022
2.147 -5.183 -1.102
2.893 -3.366 -3.604
```

Output
- total moment (μB per atom) = 0.00
- E_form (uncorrected) (kJ per mole of atoms) = 6.3
- volume (Å³/f.u.) = 110.0
- VASP energy (eV per cell) = -13.67